10
Lattice="3.745 0.000 0.000 0.000 3.745 0.000 0.000 0.000 18.375" Properties=species:S:1:pos:R:3 comment="PBE-GGA Ho4Hg5Pb, relaxed" total_magnetization_mub_per_fu=0.2 energy_ev_per_atom=-2.750 n_ef_per_ev_atom=0.736 pbc="T T T"
Ho 0.000 0.000 1.822
Ho 0.000 0.000 5.497
Ho 0.000 0.000 12.878
Ho 0.000 0.000 16.552
Hg 1.873 1.873 0.000
Hg 1.873 1.873 3.577
Hg 1.873 1.873 7.191
Hg 1.873 1.873 11.184
Hg 1.873 1.873 14.797
Pb 0.000 0.000 9.187